# Al4TcIr (PBE, relaxed)
data_Al4TcIr
_chemical_formula_sum 'Al4 Tc1 Ir1'
_cell_length_a 4.131
_cell_length_b 4.131
_cell_length_c 6.048
_cell_angle_alpha 90.00
_cell_angle_beta 90.00
_cell_angle_gamma 90.00
_space_group_name_H-M_alt 'P 4/m m m'
_space_group_IT_number 123
_space_group_name_Hall '-P 4 2'
loop_
_atom_site_label
_atom_site_type_symbol
_atom_site_fract_x
_atom_site_fract_y
_atom_site_fract_z
_atom_site_occupancy
Al1 Al 0.000 0.500 0.249 1
Tc1 Tc 0.000 0.000 0.500 1
Ir1 Ir 0.500 0.500 0.000 1
# Energy of formation ... -0.34 eV per atom
# E_tot ... -6.04 eV per atom
# E above lowest polymorph ... 0.000 eV per atom